Record 1
# BaTlTe2 PBEsol relaxed
# V = 33.3 Å³ per atom
# energy = -3.876 eV per atom
data_BaTlTe2
_chemical_formula_sum 'Ba2 Tl2 Te4'
_space_group_name_H-M_alt 'I 4/m m m'
_space_group_IT_number 139
_space_group_name_Hall '-I 4 2'
_cell_length_a 6.1867
_cell_length_b 6.1867
_cell_length_c 6.9517
_cell_angle_alpha 90.00
_cell_angle_beta 90.00
_cell_angle_gamma 90.00
loop_
_atom_site_label
_atom_site_fract_x
_atom_site_fract_y
_atom_site_fract_z
_atom_site_occupancy
Ba1 0.0000 0.0000 0.0000 1
Tl1 0.0000 0.0000 0.5000 1
Te1 0.0000 0.5000 0.2500 1

---

Record 2
# BaTlTe2 PBEsol relaxed
# V = 32.6 Å³ per atom
# energy = -3.558 eV per atom
data_BaTlTe2
_chemical_formula_sum 'Ba4 Tl4 Te8'
_space_group_name_H-M_alt 'F -4 3 m'
_space_group_IT_number 216
_space_group_name_Hall 'F -4 2 3'
_cell_length_a 8.0511
_cell_length_b 8.0511
_cell_length_c 8.0511
_cell_angle_alpha 90.00
_cell_angle_beta 90.00
_cell_angle_gamma 90.00
loop_
_atom_site_label
_atom_site_fract_x
_atom_site_fract_y
_atom_site_fract_z
_atom_site_occupancy
Ba1 0.0000 0.0000 0.0000 1
Tl1 0.2500 0.2500 0.7500 1
Te1 0.0000 0.0000 0.5000 1
Te2 0.2500 0.2500 0.2500 1

---

Record 3
# BaTlTe2 PBEsol relaxed
# V = 33.1 Å³ per atom
# energy = -3.877 eV per atom
data_BaTlTe2
_chemical_formula_sum 'Ba2 Tl2 Te4'
_space_group_name_H-M_alt 'C m m m'
_space_group_IT_number 65
_space_group_name_Hall '-C 2 2'
_cell_length_a 6.9623
_cell_length_b 8.5831
_cell_length_c 4.4307
_cell_angle_alpha 90.00
_cell_angle_beta 90.00
_cell_angle_gamma 90.00
loop_
_atom_site_label
_atom_site_fract_x
_atom_site_fract_y
_atom_site_fract_z
_atom_site_occupancy
Ba1 0.0000 0.0000 0.0000 1
Tl1 0.0000 0.5000 0.0000 1
Te1 0.2500 0.2500 0.5000 1

---

Record 4
# BaTl2Te2 PBEsol relaxed
# V = 35.6 Å³ per atom
# energy = -3.507 eV per atom
data_BaTl2Te2
_chemical_formula_sum 'Ba2 Tl4 Te4'
_space_group_name_H-M_alt 'I 4/m m m'
_space_group_IT_number 139
_space_group_name_Hall '-I 4 2'
_cell_length_a 5.9875
_cell_length_b 5.9875
_cell_length_c 9.9236
_cell_angle_alpha 90.00
_cell_angle_beta 90.00
_cell_angle_gamma 90.00
loop_
_atom_site_label
_atom_site_fract_x
_atom_site_fract_y
_atom_site_fract_z
_atom_site_occupancy
Ba1 0.0000 0.0000 0.0000 1
Tl1 0.0000 0.0000 0.3512 1
Te1 0.0000 0.5000 0.2500 1